Entry P
Material: Zr2ScRu
Method: DFT, SCAN
State: single point on PBEsol structure

The space group is Pm (No. 6) and the conventional cell measures 3.1546, 4.4164 and 5.7036 Å, with angles of 90.00, 105.12 and 90.00 degrees. The inequivalent atoms are Zr at (0.0000, 0.0000, 0.0000), Zr at (0.3196, 0.5000, 0.7242), Sc at (0.6427, 0.0000, 0.4560) and Ru at (0.8164, 0.5000, 0.2178).

As for the density: 7.11 g/cm³. The crystal system is monoclinic. The calculation puts the total magnetic moment at 0.00 μB/f.u.

---

Entry Q
Material: Zr2ScRu
Method: DFT, SCAN
State: single point on PBEsol structure

The space group is I-4m2 (No. 119) and the conventional cell measures 3.9023, 3.9023 and 9.9230 Å, with angles of 90.00, 90.00 and 90.00 degrees. The inequivalent atoms are Zr at (0.0000, 0.0000, 0.0000), Zr at (0.0000, 0.5000, 0.2500), Sc at (0.0000, 0.5000, 0.7500) and Ru at (0.0000, 0.0000, 0.5000).

As for the density: 7.22 g/cm³. The crystal system is tetragonal. The calculation puts the total magnetic moment at 0.00 μB/f.u.

---

Most stable structure, least stable structure: entry P, entry Q.

---

Entry P
Material: Zr2ScRu
Method: DFT, SCAN
State: single point on PBEsol structure

The space group is Imm2 (No. 44) and the conventional cell measures 3.2753, 4.8038 and 9.8214 Å, with angles of 90.00, 90.00 and 90.00 degrees. The inequivalent atoms are Zr at (0.0000, 0.0000, 0.0000), Zr at (0.0000, 0.5000, 0.2184), Sc at (0.0000, 0.0000, 0.4334) and Ru at (0.0000, 0.5000, 0.7146).

As for the density: 7.06 g/cm³. The crystal system is orthorhombic. The calculation puts the total magnetic moment at 0.00 μB/f.u.

---

Entry Q
Material: Zr2ScRu
Method: DFT, SCAN
State: single point on PBEsol structure

The space group is Immm (No. 71) and the conventional cell measures 3.3051, 4.8613 and 9.7355 Å, with angles of 90.00, 90.00 and 90.00 degrees. The inequivalent atoms are Zr at (0.0000, 0.0000, 0.2135), Sc at (0.0000, 0.5000, 0.0000) and Ru at (0.0000, 0.5000, 0.5000).

As for the density: 6.97 g/cm³. The crystal system is orthorhombic. The calculation puts the total magnetic moment at 0.00 μB/f.u.

---

Entry R
Material: Zr2ScRu
Method: DFT, SCAN
State: single point on PBEsol structure

The space group is P4mm (No. 99) and the conventional cell measures 3.2231, 3.2231 and 7.5113 Å, with angles of 90.00, 90.00 and 90.00 degrees. The inequivalent atoms are Zr at (0.0000, 0.0000, 0.0000), Zr at (0.5000, 0.5000, 0.2774), Sc at (0.5000, 0.5000, 0.6925) and Ru at (0.0000, 0.0000, 0.4849).

As for the density: 6.99 g/cm³. The crystal system is tetragonal. The calculation puts the total magnetic moment at 0.00 μB/f.u.

---

Most stable structure, least stable structure: entry Q, entry R.

---

Entry P
Material: RuSe3
Method: DFT, SCAN
State: single point on PBEsol structure

The space group is Pmmn (No. 59, origin choice 2) and the conventional cell measures 3.5247, 7.3795 and 6.6881 Å, with angles of 90.00, 90.00 and 90.00 degrees. The inequivalent atoms are Ru at (0.2500, 0.2500, 0.0220), Se at (0.2500, 0.5694, 0.1804) and Se at (0.2500, 0.7500, 0.7207).

As for the density: 6.45 g/cm³. The crystal system is orthorhombic. The calculation puts the total magnetic moment at 0.00 μB/f.u.

---

Entry Q
Material: RuSe3
Method: DFT, SCAN
State: single point on PBEsol structure

The space group is I4/mmm (No. 139) and the conventional cell measures 4.4368, 4.4368 and 6.7468 Å, with angles of 90.00, 90.00 and 90.00 degrees. The inequivalent atoms are Ru at (0.0000, 0.0000, 0.0000), Se at (0.0000, 0.0000, 0.5000) and Se at (0.0000, 0.5000, 0.2500).

As for the density: 8.45 g/cm³. The crystal system is tetragonal. The calculation puts the total magnetic moment at 0.00 μB/f.u.

---

Most stable structure, least stable structure: entry P, entry Q.

---

Entry P
Material: TaRuSe2
Method: DFT, SCAN
State: single point on PBEsol structure

The space group is R-3m (No. 166, hexagonal axes) and the conventional cell measures 3.0902, 3.0902 and 23.3442 Å, with angles of 90.00, 90.00 and 120.00 degrees. The inequivalent atoms are Ta at (0.0000, 0.0000, 0.0000), Ru at (0.0000, 0.0000, 0.5000) and Se at (0.0000, 0.0000, 0.2487).

As for the density: 11.35 g/cm³. The crystal system is trigonal. The calculation puts the total magnetic moment at 0.95 μB/f.u.

---

Entry Q
Material: TaRuSe2
Method: DFT, SCAN
State: single point on PBEsol structure

The space group is I-4m2 (No. 119) and the conventional cell measures 3.8501, 3.8501 and 8.5916 Å, with angles of 90.00, 90.00 and 90.00 degrees. The inequivalent atoms are Ta at (0.0000, 0.0000, 0.0000), Ru at (0.0000, 0.5000, 0.2500), Se at (0.0000, 0.0000, 0.5000) and Se at (0.0000, 0.5000, 0.7500).

As for the density: 11.47 g/cm³. The crystal system is tetragonal. The calculation puts the total magnetic moment at 0.00 μB/f.u.

---

Most stable structure, least stable structure: entry P, entry Q.

---

Entry P
Material: TlRuSe2
Method: DFT, SCAN
State: single point on PBEsol structure

The space group is P2/m (No. 10) and the conventional cell measures 4.9042, 3.6657 and 5.3677 Å, with angles of 90.00, 116.81 and 90.00 degrees. The inequivalent atoms are Tl at (0.0000, 0.0000, 0.0000), Ru at (0.5000, 0.0000, 0.5000) and Se at (0.2878, 0.5000, 0.6588).

As for the density: 8.93 g/cm³. The crystal system is monoclinic. The calculation puts the total magnetic moment at 0.00 μB/f.u.

---

Entry Q
Material: TlRuSe2
Method: DFT, SCAN
State: single point on PBEsol structure

The space group is Immm (No. 71) and the conventional cell measures 3.0090, 5.1332 and 10.5654 Å, with angles of 90.00, 90.00 and 90.00 degrees. The inequivalent atoms are Tl at (0.0000, 0.0000, 0.0000), Ru at (0.0000, 0.0000, 0.5000) and Se at (0.0000, 0.5000, 0.1866).

As for the density: 9.43 g/cm³. The crystal system is orthorhombic. The calculation puts the total magnetic moment at 0.00 μB/f.u.

---

Entry R
Material: TlRuSe2
Method: DFT, SCAN
State: single point on PBEsol structure

The space group is I-4m2 (No. 119) and the conventional cell measures 4.2837, 4.2837 and 8.1284 Å, with angles of 90.00, 90.00 and 90.00 degrees. The inequivalent atoms are Tl at (0.0000, 0.0000, 0.0000), Ru at (0.0000, 0.5000, 0.2500), Se at (0.0000, 0.0000, 0.5000) and Se at (0.0000, 0.5000, 0.7500).

As for the density: 10.32 g/cm³. The crystal system is tetragonal. The calculation puts the total magnetic moment at 0.00 μB/f.u.

---

Entry S
Material: TlRuSe2
Method: DFT, SCAN
State: single point on PBEsol structure

The space group is R-3m (No. 166, hexagonal axes) and the conventional cell measures 3.5920, 3.5920 and 26.1088 Å, with angles of 90.00, 90.00 and 120.00 degrees. The inequivalent atoms are Tl at (0.0000, 0.0000, 0.0000), Ru at (0.0000, 0.0000, 0.5000) and Se at (0.0000, 0.0000, 0.1159).

As for the density: 7.91 g/cm³. The crystal system is trigonal. The calculation puts the total magnetic moment at 1.35 μB/f.u.

---

Most stable structure, least stable structure: entry P, entry R.

---

Entry P
Material: Si3Ru5
Method: DFT, SCAN
State: single point on PBEsol structure

The space group is Pbam (No. 55) and the conventional cell measures 5.1983, 9.7625 and 4.0111 Å, with angles of 90.00, 90.00 and 90.00 degrees. The inequivalent atoms are Si at (0.0000, 0.0000, 0.0000), Si at (0.1344, 0.3644, 0.5000), Ru at (0.0000, 0.5000, 0.0000), Ru at (0.1568, 0.7723, 0.0000) and Ru at (0.1659, 0.1098, 0.5000).

As for the density: 9.62 g/cm³. The crystal system is orthorhombic. The calculation puts the total magnetic moment at 0.00 μB/f.u.

---

Entry Q
Material: Si3Ru5
Method: DFT, SCAN
State: single point on PBEsol structure

The space group is P6_3/mcm (No. 193) and the conventional cell measures 6.8176, 6.8176 and 5.1684 Å, with angles of 90.00, 90.00 and 120.00 degrees. The inequivalent atoms are Si at (0.0000, 0.3978, 0.2500), Ru at (0.0000, 0.2475, 0.7500) and Ru at (0.3333, 0.6667, 0.0000).

As for the density: 9.41 g/cm³. The crystal system is hexagonal. The calculation puts the total magnetic moment at 0.00 μB/f.u.

---

Entry R
Material: Si3Ru5
Method: DFT, SCAN
State: single point on PBEsol structure

The space group is I4/mcm (No. 140) and the conventional cell measures 9.1158, 9.1158 and 4.9574 Å, with angles of 90.00, 90.00 and 90.00 degrees. The inequivalent atoms are Si at (0.0000, 0.0000, 0.2500), Si at (0.1648, 0.3352, 0.0000), Ru at (0.0000, 0.5000, 0.2500) and Ru at (0.0761, 0.2163, 0.5000).

As for the density: 9.51 g/cm³. The crystal system is tetragonal. The calculation puts the total magnetic moment at 0.00 μB/f.u.

---

Most stable structure, least stable structure: entry P, entry R.

---

Entry P
Material: SrTa2Ru
Method: DFT, SCAN
State: single point on PBEsol structure

The space group is C2/m (No. 12) and the conventional cell measures 5.5660, 9.8731 and 2.8575 Å, with angles of 90.00, 108.06 and 90.00 degrees. The inequivalent atoms are Sr at (0.0000, 0.0000, 0.0000), Ta at (0.2500, 0.2500, 0.5000) and Ru at (0.0000, 0.5000, 0.0000).

As for the density: 12.25 g/cm³. The crystal system is monoclinic. The calculation puts the total magnetic moment at 0.23 μB/f.u.

---

Entry Q
Material: SrTa2Ru
Method: DFT, SCAN
State: single point on PBEsol structure

The space group is F-43m (No. 216) and the conventional cell measures 6.6992, 6.6992 and 6.6992 Å, with angles of 90.00, 90.00 and 90.00 degrees. The inequivalent atoms are Sr at (0.0000, 0.0000, 0.0000), Ta at (0.0000, 0.0000, 0.5000), Ta at (0.2500, 0.2500, 0.2500) and Ru at (0.2500, 0.2500, 0.7500).

As for the density: 12.16 g/cm³. The crystal system is cubic. The calculation puts the total magnetic moment at 0.00 μB/f.u.

---

Most stable structure, least stable structure: entry Q, entry P.

---

Entry P
Material: Ta3Ru2
Method: DFT, SCAN
State: single point on PBEsol structure

The space group is P4/mmm (No. 123) and the conventional cell measures 3.1858, 3.1858 and 15.6313 Å, with angles of 90.00, 90.00 and 90.00 degrees. The inequivalent atoms are Ta at (0.0000, 0.0000, 0.0000), Ta at (0.0000, 0.0000, 0.1952), Ta at (0.0000, 0.0000, 0.3952), Ta at (0.5000, 0.5000, 0.5000), Ru at (0.5000, 0.5000, 0.0974) and Ru at (0.5000, 0.5000, 0.2914).

As for the density: 15.60 g/cm³. The crystal system is tetragonal. The calculation puts the total magnetic moment at 0.00 μB/f.u.

---

Entry Q
Material: Ta3Ru2
Method: DFT, SCAN
State: single point on PBEsol structure

The space group is R-3m (No. 166, hexagonal axes) and the conventional cell measures 2.9754, 2.9754 and 31.8399 Å, with angles of 90.00, 90.00 and 120.00 degrees. The inequivalent atoms are Ta at (0.0000, 0.0000, 0.0000), Ta at (0.0000, 0.0000, 0.2028) and Ru at (0.0000, 0.0000, 0.3985).

As for the density: 15.20 g/cm³. The crystal system is trigonal. The calculation puts the total magnetic moment at 0.00 μB/f.u.

---

Most stable structure, least stable structure: entry P, entry Q.

---

Entry P
Material: Ta2TlRu
Method: DFT, SCAN
State: single point on PBEsol structure

The space group is Imm2 (No. 44) and the conventional cell measures 3.0966, 4.7436 and 9.5322 Å, with angles of 90.00, 90.00 and 90.00 degrees. The inequivalent atoms are Ta at (0.0000, 0.0000, 0.0000), Ta at (0.0000, 0.5000, 0.2490), Tl at (0.0000, 0.5000, 0.7773) and Ru at (0.0000, 0.0000, 0.5268).

As for the density: 15.83 g/cm³. The crystal system is orthorhombic. The calculation puts the total magnetic moment at 0.00 μB/f.u.

---

Entry Q
Material: Ta2TlRu
Method: DFT, SCAN
State: single point on PBEsol structure

The space group is Pmm2 (No. 25) and the conventional cell measures 3.1128, 3.5914 and 6.2691 Å, with angles of 90.00, 90.00 and 90.00 degrees. The inequivalent atoms are Ta at (0.0000, 0.0000, 0.0000), Ta at (0.5000, 0.5000, 0.2488), Tl at (0.0000, 0.0000, 0.5239) and Ru at (0.5000, 0.5000, 0.7922).

As for the density: 15.81 g/cm³. The crystal system is orthorhombic. The calculation puts the total magnetic moment at 0.00 μB/f.u.

---

Most stable structure, least stable structure: entry Q, entry P.

---

Entry P
Material: ZrTaRu
Method: DFT, SCAN
State: single point on PBEsol structure

The space group is P3m1 (No. 156) and the conventional cell measures 3.0608, 3.0608 and 6.5310 Å, with angles of 90.00, 90.00 and 120.00 degrees. The inequivalent atoms are Zr at (0.0000, 0.0000, 0.0000), Ta at (0.6667, 0.3333, 0.3668) and Ru at (0.3333, 0.6667, 0.6666).

As for the density: 11.70 g/cm³. The crystal system is trigonal. The calculation puts the total magnetic moment at 0.00 μB/f.u.

---

Entry Q
Material: ZrTaRu
Method: DFT, SCAN
State: single point on PBEsol structure

The space group is I4mm (No. 107) and the conventional cell measures 3.1760, 3.1760 and 10.2486 Å, with angles of 90.00, 90.00 and 90.00 degrees. The inequivalent atoms are Zr at (0.0000, 0.0000, 0.0000), Ta at (0.0000, 0.0000, 0.6859) and Ru at (0.0000, 0.0000, 0.3333).

As for the density: 11.99 g/cm³. The crystal system is tetragonal. The calculation puts the total magnetic moment at 0.00 μB/f.u.

---

Most stable structure, least stable structure: entry Q, entry P.

---

Entry P
Material: Tc2Ru
Method: DFT, SCAN
State: single point on PBEsol structure

The space group is Cmcm (No. 63) and the conventional cell measures 2.7080, 14.1361 and 4.2970 Å, with angles of 90.00, 90.00 and 90.00 degrees. The inequivalent atoms are Tc at (0.0000, 0.0554, 0.2500), Tc at (0.0000, 0.3870, 0.2500) and Ru at (0.0000, 0.2771, 0.7500).

As for the density: 12.00 g/cm³. The crystal system is orthorhombic. The calculation puts the total magnetic moment at 0.00 μB/f.u.

---

Entry Q
Material: Tc2Ru
Method: DFT, SCAN
State: single point on PBEsol structure

The space group is C2/m (No. 12) and the conventional cell measures 9.8212, 2.7010 and 6.3755 Å, with angles of 90.00, 103.64 and 90.00 degrees. The inequivalent atoms are Tc at (0.1368, 0.0000, 0.0260), Tc at (0.1928, 0.0000, 0.6399) and Ru at (0.0283, 0.5000, 0.3055).

As for the density: 12.01 g/cm³. The crystal system is monoclinic. The calculation puts the total magnetic moment at 0.00 μB/f.u.

---

Most stable structure, least stable structure: entry Q, entry P.